Record 1
The following is a DFT calculation (GGA-PBE) of a relaxed Pu2PSe crystal.

Cell: 4.0702 4.0702 7.1066 Å, 106.64 106.64 60.01°
With the nearest neighbours (Å) after each atom.
Element x y z (fractional)
1 Pu 0.2552 0.2552 0.7656  3 P 2.83, 3 Se 2.95
2 Pu 0.7448 0.7448 0.2344  3 P 2.83, 3 Se 2.95
3 P 0.0000 0.0000 0.0000  6 Pu 2.83
4 Se 0.5000 0.5000 0.5000  6 Pu 2.95

Calculated values
calculated total energy	-43.06	eV/f.u.

***

Record 2
The following is a DFT calculation (GGA-PBE) of a relaxed Pu6P5Se crystal.

Cell: 6.9600 6.9600 6.9579 Å, 99.62 99.62 120.02°
With the nearest neighbours (Å) after each atom.
Element x y z (fractional)
1 Pu 0.2564 0.2564 0.7467  5 P 2.79-2.84, 1 Se 2.90
2 Pu 0.9149 0.5740 0.7449  5 P 2.81-2.85, 1 Se 2.90
3 Pu 0.7436 0.7436 0.2533  5 P 2.79-2.84, 1 Se 2.90
4 Pu 0.5740 0.9149 0.7449  5 P 2.81-2.85, 1 Se 2.90
5 Pu 0.4260 0.0851 0.2551  5 P 2.81-2.85, 1 Se 2.90
6 Pu 0.0851 0.4260 0.2551  5 P 2.81-2.85, 1 Se 2.90
7 P 0.5000 0.5000 0.5000  6 Pu 2.79-2.84
8 P 0.3329 0.6671 0.0000  6 Pu 2.84
9 P 0.8370 0.1630 0.5000  6 Pu 2.81-2.85
10 P 0.6671 0.3329 0.0000  6 Pu 2.84
11 P 0.1630 0.8370 0.5000  6 Pu 2.81-2.85
12 Se 0.0000 0.0000 0.0000  6 Pu 2.90

Calculated values
calculated total energy	-131.23	eV/f.u.

***

Record 3
The following is a DFT calculation (GGA-PBE) of a relaxed SmPu2P3 crystal.

Cell: 4.0307 4.0307 9.8343 Å, 90.00 90.00 120.00°
With the nearest neighbours (Å) after each atom.
Element x y z (fractional)
1 Pu 0.6667 0.3333 0.1640  6 P 2.81-2.83
2 Pu 0.3333 0.6667 0.8360  6 P 2.81-2.83
3 P 0.3333 0.6667 0.3242  3 Pu 2.81, 3 Sm 2.90
4 P 0.6667 0.3333 0.6758  3 Pu 2.81, 3 Sm 2.90
5 P 0.0000 0.0000 0.0000  6 Pu 2.83
6 Sm 0.0000 0.0000 0.5000  6 P 2.90

Calculated values
calculated total energy	-57.33	eV/f.u.

***

Record 4
The following is a DFT calculation (GGA-PBE) of a relaxed Sm2PuP3 crystal.

Cell: 4.0597 4.0597 9.9104 Å, 90.00 90.00 120.00°
With the nearest neighbours (Å) after each atom.
Element x y z (fractional)
1 P 0.0000 0.0000 0.0000  6 Sm 2.87
2 P 0.3333 0.6667 0.3437  3 Pu 2.81, 3 Sm 2.92
3 P 0.6667 0.3333 0.6563  3 Pu 2.81, 3 Sm 2.92
4 Pu 0.0000 0.0000 0.5000  6 P 2.81
5 Sm 0.6667 0.3333 0.1672  6 P 2.87-2.92
6 Sm 0.3333 0.6667 0.8328  6 P 2.87-2.92

Calculated values
calculated total energy	-48.57	eV/f.u.

***

Record 5
The following is a DFT calculation (GGA-PBE) of a relaxed TbPuP2 crystal.

Cell: 6.9275 6.9275 6.9275 Å, 131.81 131.81 70.53°
With the nearest neighbours (Å) after each atom.
Element x y z (fractional)
1 P 0.7540 0.7540 0.0000  3 Pu 2.78-2.83, 3 Tb 2.83-2.87
2 P 0.2460 0.2460 0.0000  3 Pu 2.78-2.83, 3 Tb 2.83-2.87
3 P 0.9960 0.4960 0.5000  3 Pu 2.78-2.83, 3 Tb 2.83-2.87
4 P 0.5040 0.0040 0.5000  3 Pu 2.78-2.83, 3 Tb 2.83-2.87
5 Pu 0.0000 0.0000 0.0000  6 P 2.78-2.83
6 Pu 0.7500 0.2500 0.5000  6 P 2.78-2.83
7 Tb 0.2500 0.7500 0.5000  6 P 2.83-2.87
8 Tb 0.5000 0.5000 0.0000  6 P 2.83-2.87

Calculated values
calculated total energy	-35.30	eV/f.u.

***

Record 6
The following is a DFT calculation (GGA-PBE) of a relaxed PuTh2P3 crystal.

Cell: 7.1011 7.1011 7.1011 Å, 146.31 131.68 60.20°
With the nearest neighbours (Å) after each atom.
Element x y z (fractional)
1 Th 0.3325 0.3325 0.0000  6 P 2.91-2.93
2 Th 0.6675 0.6675 0.0000  6 P 2.91-2.93
3 P 0.1622 0.6622 0.5000  2 Pu 2.86, 4 Th 2.91-2.93
4 P 0.8378 0.3378 0.5000  2 Pu 2.86, 4 Th 2.91-2.93
5 P 0.5000 0.0000 0.5000  2 Pu 2.91, 4 Th 2.91
6 Pu 0.0000 0.0000 0.0000  6 P 2.86-2.91

Calculated values
calculated total energy	-54.02	eV/f.u.

***

Record 7
The following is a DFT calculation (GGA-PBE) of a relaxed TmPu3P4 crystal.

Cell: 6.8859 6.8859 3.9813 Å, 90.00 90.00 109.51°
With the nearest neighbours (Å) after each atom.
Element x y z (fractional)
1 P 0.2511 0.2511 0.0000  4 Pu 2.81, 2 Tm 2.82
2 P 0.7489 0.7489 0.0000  4 Pu 2.81, 2 Tm 2.82
3 P 0.7495 0.2505 0.5000  5 Pu 2.81, 1 Tm 2.82
4 P 0.2505 0.7495 0.5000  5 Pu 2.81, 1 Tm 2.82
5 Pu 0.0000 0.5000 0.0000  6 P 2.81
6 Pu 0.5000 0.0000 0.0000  6 P 2.81
7 Pu 0.5000 0.5000 0.5000  6 P 2.81
8 Tm 0.0000 0.0000 0.5000  6 P 2.82

Calculated values
calculated total energy	-79.22	eV/f.u.

***

Record 8
The following is a DFT calculation (GGA-PBE) of a relaxed YPu2P3 crystal.

Cell: 6.9012 6.9012 6.9012 Å, 146.27 131.72 60.18°
With the nearest neighbours (Å) after each atom.
Element x y z (fractional)
1 Pu 0.6653 0.6653 0.0000  6 P 2.80-2.82
2 Pu 0.3347 0.3347 0.0000  6 P 2.80-2.82
3 P 0.5000 0.0000 0.5000  4 Pu 2.81, 2 Y 2.82
4 P 0.8292 0.3292 0.5000  4 Pu 2.80-2.82, 2 Y 2.86
5 P 0.1708 0.6708 0.5000  4 Pu 2.80-2.82, 2 Y 2.86
6 Y 0.0000 0.0000 0.0000  6 P 2.82-2.86

Calculated values
calculated total energy	-59.23	eV/f.u.